Material: Be3TePb
Method: DFT, GGA-PBE
State: relaxed

a = 4.7498 Å, b = 4.7498 Å, c = 4.7498 Å
α = 90.00°, β = 90.00°, γ = 90.00°
Fractional positions:
Pb 0.0000 0.0000 0.0000
Be 0.0000 0.5000 0.0000
Be 0.0000 0.0000 0.5000
Be 0.5000 0.0000 0.0000
Te 0.5000 0.5000 0.5000

Calculated volume: 21.432 Å³/atom
Formation energy (no corrections): 5.32 eV per formula unit
Excess energy over the best structure of this formula in the dataset: 0 meV/atom